First-principles (PBEsol) data for a relaxed structure of Cu2P2Pt, as listed in Alexandria via LeMat-Bulk.

Results
The calculation puts the formation energy at -0.106 eV per atom.

a = 5.942 Å, b = 5.942 Å, c = 4.245 Å
α = 90.00°, β = 90.00°, γ = 90.00°
Space group P4/mbm (No. 127)
One atom of each set of equivalent atoms:
Cu 0.214 0.286 0.000 [4 per cell]
P 0.130 0.370 0.500 [4 per cell]
Pt 0.000 0.000 0.500 [2 per cell]

***

First-principles (PBEsol) data for a relaxed structure of KLaSiC4N8, as listed in Alexandria via LeMat-Bulk.

Results
As for the formation energy from raw total energies: -835 kJ/mol of formula units.

a = 7.556 Å, b = 9.517 Å, c = 6.830 Å
α = 90.00°, β = 90.00°, γ = 90.00°
Space group P2_12_12 (No. 18)
One atom of each set of equivalent atoms:
K 0.000 0.000 0.093 [2 per cell]
La 0.000 0.500 0.742 [2 per cell]
Si 0.000 0.500 0.247 [2 per cell]
C 0.173 0.271 0.367 [4 per cell]
C 0.214 0.702 0.124 [4 per cell]
N 0.101 0.387 0.409 [4 per cell]
N 0.136 0.587 0.085 [4 per cell]
N 0.211 0.310 0.848 [4 per cell]
N 0.240 0.160 0.331 [4 per cell]